No. 1
A plane-wave DFT calculation with GGA-PBE was carried out for crystalline LiCaSnRu at its relaxed geometry.

Output
energy relative to the elements: -0.8 eV per formula unit
total moment: 0.00 μB per formula unit
DFT total energy: -72.15 eV/cell

```
data_LiCaSnRu
_chemical_formula_sum 'Li4 Ca4 Sn4 Ru4'
_space_group_name_H-M_alt 'F -4 3 m'
_space_group_IT_number 216
_space_group_name_Hall 'F -4 2 3'
_cell_length_a 6.707
_cell_length_b 6.707
_cell_length_c 6.707
_cell_angle_alpha 90.00
_cell_angle_beta 90.00
_cell_angle_gamma 90.00
loop_
_atom_site_label
_atom_site_fract_x
_atom_site_fract_y
_atom_site_fract_z
_atom_site_occupancy
Li1 0.000 0.000 0.000 1
Ca1 0.250 0.250 0.750 1
Sn1 0.250 0.250 0.250 1
Ru1 0.000 0.000 0.500 1
```

---

No. 2
A plane-wave DFT calculation with GGA-PBE was carried out for crystalline LiCaTbRu at its relaxed geometry.

Output
energy relative to the elements: -0.2 eV per formula unit
total moment: 0.00 μB per formula unit
DFT total energy: -72.02 eV/cell

```
data_LiCaTbRu
_chemical_formula_sum 'Li4 Ca4 Tb4 Ru4'
_space_group_name_H-M_alt 'F -4 3 m'
_space_group_IT_number 216
_space_group_name_Hall 'F -4 2 3'
_cell_length_a 7.023
_cell_length_b 7.023
_cell_length_c 7.023
_cell_angle_alpha 90.00
_cell_angle_beta 90.00
_cell_angle_gamma 90.00
loop_
_atom_site_label
_atom_site_fract_x
_atom_site_fract_y
_atom_site_fract_z
_atom_site_occupancy
Li1 0.000 0.000 0.000 1
Ca1 0.250 0.250 0.750 1
Tb1 0.250 0.250 0.250 1
Ru1 0.000 0.000 0.500 1
```

---

No. 3
A plane-wave DFT calculation with GGA-PBE was carried out for crystalline Li2CaTlRu at its relaxed geometry.

Output
energy relative to the elements: 2.2 eV per formula unit
total moment: 0.00 μB per formula unit
DFT total energy: -15.23 eV/cell

```
data_Li2CaTlRu
_chemical_formula_sum 'Li2 Ca1 Tl1 Ru1'
_space_group_name_H-M_alt 'P 4/m m m'
_space_group_IT_number 123
_space_group_name_Hall '-P 4 2'
_cell_length_a 4.909
_cell_length_b 4.909
_cell_length_c 5.048
_cell_angle_alpha 90.00
_cell_angle_beta 90.00
_cell_angle_gamma 90.00
loop_
_atom_site_label
_atom_site_fract_x
_atom_site_fract_y
_atom_site_fract_z
_atom_site_occupancy
Li1 0.000 0.500 0.000 1
Ca1 0.000 0.000 0.500 1
Tl1 0.500 0.500 0.500 1
Ru1 0.000 0.000 0.000 1
```

---

No. 4
A plane-wave DFT calculation with GGA-PBE was carried out for crystalline LiCaY2Ru at its relaxed geometry.

Output
energy relative to the elements: 0.1 eV per formula unit
total moment: 0.00 μB per formula unit
DFT total energy: -26.02 eV/cell

```
data_LiCaY2Ru
_chemical_formula_sum 'Li1 Ca1 Y2 Ru1'
_space_group_name_H-M_alt 'P 4/m m m'
_space_group_IT_number 123
_space_group_name_Hall '-P 4 2'
_cell_length_a 5.336
_cell_length_b 5.336
_cell_length_c 5.673
_cell_angle_alpha 90.00
_cell_angle_beta 90.00
_cell_angle_gamma 90.00
loop_
_atom_site_label
_atom_site_fract_x
_atom_site_fract_y
_atom_site_fract_z
_atom_site_occupancy
Li1 0.000 0.000 0.000 1
Ca1 0.500 0.500 0.000 1
Y1 0.000 0.500 0.500 1
Ru1 0.500 0.500 0.500 1
```

---

No. 5
A plane-wave DFT calculation with GGA-PBE was carried out for crystalline Li3CaS at its relaxed geometry.

Output
energy relative to the elements, uncorrected: 0.80 eV per atom
total moment: 0.00 μB per formula unit
DFT total energy: -7.87 eV/cell

```
data_Li3CaS
_chemical_formula_sum 'Li3 Ca1 S1'
_space_group_name_H-M_alt 'P m -3 m'
_space_group_IT_number 221
_space_group_name_Hall '-P 4 2 3'
_cell_length_a 5.381
_cell_length_b 5.381
_cell_length_c 5.381
_cell_angle_alpha 90.00
_cell_angle_beta 90.00
_cell_angle_gamma 90.00
loop_
_atom_site_label
_atom_site_fract_x
_atom_site_fract_y
_atom_site_fract_z
_atom_site_occupancy
Li1 0.000 0.000 0.500 1
Ca1 0.000 0.000 0.000 1
S1 0.500 0.500 0.500 1
```

---

No. 6
A plane-wave DFT calculation with GGA-PBE was carried out for crystalline Li2CaS2 at its relaxed geometry.

Output
energy relative to the elements, uncorrected: -1.21 eV per atom
total moment: 0.00 μB per formula unit
DFT total energy: -40.24 eV/cell

```
data_Li2CaS2
_chemical_formula_sum 'Li4 Ca2 S4'
_space_group_name_H-M_alt 'P 4/m b m'
_space_group_IT_number 127
_space_group_name_Hall '-P 4 2ab'
_cell_length_a 7.336
_cell_length_b 7.336
_cell_length_c 3.638
_cell_angle_alpha 90.00
_cell_angle_beta 90.00
_cell_angle_gamma 90.00
loop_
_atom_site_label
_atom_site_fract_x
_atom_site_fract_y
_atom_site_fract_z
_atom_site_occupancy
Li1 0.129 0.371 0.000 1
Ca1 0.000 0.000 0.500 1
S1 0.178 0.678 0.500 1
```